First-principles (PBE) data for a geometry-optimized Dy2Y3Ho6In structure, as listed in the Alexandria database.

Summary:
Space-group type: C2/m (12)
E_form in meV per atom: -38

Cell lengths 6.0794, 6.0794, 11.6166 Å; angles 95.03, 95.03, 120.03 degrees
With the nearest neighbours (Å) after each atom.
Element x y z (fractional)
Ho 0.0814 0.4104 0.2460  1 In 3.45, 6 Ho 3.46-3.53, 2 Dy 3.47-3.48, 3 Y 3.53-3.56
Ho 0.2475 0.2475 0.7530  6 Ho 3.46-3.53, 1 In 3.47, 2 Dy 3.48, 3 Y 3.52-3.55
Y 0.1666 0.8334 0.5000  6 Y 3.51, 6 Ho 3.52-3.56
Dy 0.3337 0.6663 0.0000  6 Ho 3.47-3.48, 3 Dy 3.50-3.51, 3 In 3.51
Ho 0.7525 0.7525 0.2470  6 Ho 3.46-3.53, 1 In 3.47, 2 Dy 3.48, 3 Y 3.52-3.55
In 0.0000 0.0000 0.0000  6 Ho 3.45-3.47, 6 Dy 3.51
Y 0.8334 0.1666 0.5000  6 Y 3.51, 6 Ho 3.52-3.56
Ho 0.9186 0.5896 0.7540  1 In 3.45, 6 Ho 3.46-3.53, 2 Dy 3.47-3.48, 3 Y 3.53-3.56
Y 0.5000 0.5000 0.5000  6 Y 3.51, 6 Ho 3.53-3.55
Ho 0.5896 0.9186 0.7540  1 In 3.45, 6 Ho 3.46-3.53, 2 Dy 3.47-3.48, 3 Y 3.53-3.56
Dy 0.6663 0.3337 0.0000  6 Ho 3.47-3.48, 3 Dy 3.50-3.51, 3 In 3.51
Ho 0.4104 0.0814 0.2460  1 In 3.45, 6 Ho 3.46-3.53, 2 Dy 3.47-3.48, 3 Y 3.53-3.56

---

First-principles (PBE) data for a geometry-optimized ScCuTeMo2 structure, as listed in the Alexandria database.

Summary:
Space-group type: P4/mmm (123)
Energy relative to the elements, uncorrected in eV/f.u.: 7.7

Cell lengths 4.9007, 5.2122, 4.9007 Å; angles 90.00, 90.00, 90.00 degrees
With the nearest neighbours (Å) after each atom.
Element x y z (fractional)
Te 0.0000 0.0000 0.0000  4 Mo 2.45, 2 Sc 2.61
Cu 0.5000 0.5000 0.5000  4 Sc 3.47, 8 Mo 3.58
Mo 0.0000 0.0000 0.5000  2 Te 2.45
Mo 0.5000 0.0000 0.0000  2 Te 2.45
Sc 0.0000 0.5000 0.0000  2 Te 2.61

---

First-principles (PBE) data for a geometry-optimized Dy2Fe17H3 structure, as listed in the Alexandria database.

Summary:
Space-group type: P6_3/mmc (194)
Electronic total energy in eV for the cell shown: -329.28

Cell lengths 8.5309, 8.5309, 8.1909 Å; angles 90.00, 90.00, 120.00 degrees
With the nearest neighbours (Å) after each atom.
Element x y z (fractional)
H 0.6703 0.8352 0.2500  4 Fe 1.81-1.92
Fe 0.8333 0.6666 0.9843  1 H 1.92
Fe 0.6666 0.8333 0.0157  1 H 1.92
Fe 0.6666 0.8333 0.4843  1 H 1.92
Fe 0.8333 0.1667 0.9843  1 H 1.92
Fe 0.3289 0.9520 0.7500  1 H 1.81
H 0.1648 0.8352 0.2500  4 Fe 1.81-1.92
Fe 0.3289 0.3770 0.7500  1 H 1.81
Fe 0.3770 0.0480 0.2500  1 H 1.81
Fe 0.3334 0.1667 0.5157  1 H 1.92
H 0.8352 0.6703 0.7500  4 Fe 1.81-1.92
H 0.3297 0.1648 0.7500  4 Fe 1.81-1.92
Fe 0.3333 0.6667 0.6056  4 Fe 2.37-2.61
Fe 0.5000 0.5000 0.5000  10 Fe 2.43-2.61
Dy 0.0000 0.0000 0.2500  3 H 2.44
Fe 0.0480 0.3770 0.7500  1 H 1.81
Dy 0.6667 0.3333 0.7500  3 H 2.49
Fe 0.1667 0.3334 0.0157  1 H 1.92
H 0.8352 0.1648 0.7500  4 Fe 1.81-1.92
Fe 0.1667 0.8333 0.4843  1 H 1.92
Fe 0.0000 0.5000 0.0000  10 Fe 2.43-2.61
Fe 0.3333 0.6667 0.8944  4 Fe 2.37-2.61
Fe 0.5000 0.0000 0.5000  10 Fe 2.43-2.61
Fe 0.6667 0.3333 0.3944  4 Fe 2.37-2.61
Fe 0.9520 0.6230 0.2500  1 H 1.81
Fe 0.5000 0.5000 0.0000  10 Fe 2.43-2.61
Fe 0.6711 0.0480 0.2500  1 H 1.81
Fe 0.6230 0.9520 0.7500  1 H 1.81
Fe 0.5000 0.0000 0.0000  10 Fe 2.43-2.61
Fe 0.8333 0.6666 0.5157  1 H 1.92
Fe 0.8333 0.1667 0.5157  1 H 1.92
Fe 0.1667 0.8333 0.0157  1 H 1.92
H 0.1648 0.3297 0.2500  4 Fe 1.81-1.92
Fe 0.0000 0.5000 0.5000  10 Fe 2.43-2.61
Dy 0.0000 0.0000 0.7500  3 H 2.44
Fe 0.9520 0.3289 0.2500  1 H 1.81
Fe 0.6667 0.3333 0.1056  4 Fe 2.37-2.61
Fe 0.1667 0.3334 0.4843  1 H 1.92
Fe 0.3770 0.3289 0.2500  1 H 1.81
Fe 0.6711 0.6230 0.2500  1 H 1.81
Dy 0.3333 0.6667 0.2500  3 H 2.49
Fe 0.6230 0.6711 0.7500  1 H 1.81
Fe 0.0480 0.6711 0.7500  1 H 1.81
Fe 0.3334 0.1667 0.9843  1 H 1.92

---

Which D(E_F) belongs to each record? In order, 16.710; 8.136; 48.734 states/eV per cell.